Entry 1:
The following is a DFT calculation (PBE-GGA) of a geometry-optimized Na5Mg2In12 structure.

Computed properties:
DFT total energy   -43.86 eV/f.u.
Space group   C2/m, No. 12

abc: 8.8725 8.8725 7.6124
angles: 90.62 90.62 58.05
With the nearest neighbours (Å) after each atom.
Positions (direct):
Na 0.0000 0.0000 0.0000  10 In 3.42-3.49, 2 Na 3.79
Na 0.2415 0.2415 0.0836  10 In 3.18-3.44, 1 Na 3.27
Na 0.2987 0.2987 0.4988  8 In 3.26-3.42, 1 Na 3.27, 2 Mg 3.54
Na 0.7013 0.7013 0.5012  8 In 3.26-3.42, 1 Na 3.27, 2 Mg 3.54
Na 0.7585 0.7585 0.9164  10 In 3.18-3.44, 1 Na 3.27
Mg 0.3061 0.6939 0.5000  8 In 3.04-3.27, 1 Mg 3.34
Mg 0.6939 0.3061 0.5000  8 In 3.04-3.27, 1 Mg 3.34
In 0.0294 0.6583 0.2415  5 In 3.19-3.38, 5 Na 3.22-3.45, 1 Mg 3.27
In 0.0908 0.0908 0.4116  2 Mg 3.07, 5 In 3.14-3.24, 2 Na 3.29-3.42
In 0.1692 0.5731 0.8317  4 Na 3.18-3.49, 6 In 3.22-3.48, 1 Mg 3.24
In 0.3417 0.9706 0.7585  5 In 3.19-3.38, 5 Na 3.22-3.45, 1 Mg 3.27
In 0.4269 0.8308 0.1683  4 Na 3.18-3.49, 6 In 3.22-3.48, 1 Mg 3.24
In 0.4518 0.4518 0.1790  2 Mg 3.04, 7 In 3.13-3.39, 1 Na 3.33
In 0.5482 0.5482 0.8210  2 Mg 3.04, 7 In 3.13-3.39, 1 Na 3.33
In 0.5731 0.1692 0.8317  4 Na 3.18-3.49, 6 In 3.22-3.48, 1 Mg 3.24
In 0.6583 0.0294 0.2415  5 In 3.19-3.38, 5 Na 3.22-3.45, 1 Mg 3.27
In 0.8308 0.4269 0.1683  4 Na 3.18-3.49, 6 In 3.22-3.48, 1 Mg 3.24
In 0.9092 0.9092 0.5884  2 Mg 3.07, 5 In 3.14-3.24, 2 Na 3.29-3.42
In 0.9706 0.3417 0.7585  5 In 3.19-3.38, 5 Na 3.22-3.45, 1 Mg 3.27

---

Entry 2:
The following is a DFT calculation (PBE-GGA) of a geometry-optimized Ti4CdS8 structure.

Computed properties:
Space group   R-3m, No. 166
E above lowest polymorph   0 meV per atom
E_form (uncorrected)   -1211.3 meV per atom

abc: 7.8506 7.8506 7.8506
angles: 51.55 51.55 51.55
With the nearest neighbours (Å) after each atom.
Positions (direct):
Ti 0.0000 0.0000 0.0000  6 S 2.46
Ti 0.0000 0.5000 0.5000  6 S 2.43-2.45
Ti 0.5000 0.0000 0.5000  6 S 2.43-2.45
Ti 0.5000 0.5000 0.0000  6 S 2.43-2.45
Cd 0.5000 0.5000 0.5000  6 S 2.76
S 0.2387 0.2387 0.7369  3 Ti 2.45-2.46
S 0.2387 0.7369 0.2387  3 Ti 2.45-2.46
S 0.2631 0.7613 0.7613  3 Ti 2.45-2.46
S 0.2635 0.2635 0.2635  3 Ti 2.43
S 0.7365 0.7365 0.7365  3 Ti 2.43
S 0.7369 0.2387 0.2387  3 Ti 2.45-2.46
S 0.7613 0.2631 0.7613  3 Ti 2.45-2.46
S 0.7613 0.7613 0.2631  3 Ti 2.45-2.46

---

Entry 3:
The following is a DFT calculation (PBE-GGA) of a geometry-optimized CrGe3B structure.

Computed properties:
Space group   Pm-3m, No. 221
E above lowest polymorph   0 meV per atom

abc: 4.6108 4.6108 4.6108
angles: 90.00 90.00 90.00
With the nearest neighbours (Å) after each atom.
Positions (direct):
Cr 0.0000 0.0000 0.0000  6 Ge 2.31
Ge 0.0000 0.0000 0.5000  2 Cr 2.31
Ge 0.0000 0.5000 0.0000  2 Cr 2.31
Ge 0.5000 0.0000 0.0000  2 Cr 2.31
B 0.5000 0.5000 0.5000  12 Ge 3.26

---

Entry 4:
The following is a DFT calculation (PBE-GGA) of a geometry-optimized Tb3Th2In3 structure.

Computed properties:
DFT total energy   -39.32 eV/f.u.
Space group   Immm, No. 71

abc: 10.7366 10.7366 10.7366
angles: 155.44 153.54 36.41
With the nearest neighbours (Å) after each atom.
Positions (direct):
Tb 0.0000 0.0000 0.0000  8 In 3.35-3.38, 4 Tb 3.45
Tb 0.3813 0.8813 0.5000  6 In 3.33-3.36, 2 Tb 3.45, 4 Th 3.53-3.63
Tb 0.6187 0.1187 0.5000  6 In 3.33-3.36, 2 Tb 3.45, 4 Th 3.53-3.63
Th 0.2432 0.2432 0.0000  4 Th 3.37, 4 In 3.37-3.69, 4 Tb 3.53-3.63
Th 0.7568 0.7568 0.0000  4 Th 3.37, 4 In 3.37-3.69, 4 Tb 3.53-3.63
In 0.1219 0.6219 0.5000  6 Tb 3.36-3.38, 4 Th 3.37-3.69, 2 In 3.50
In 0.5000 0.5000 0.0000  8 Tb 3.33-3.35, 4 In 3.50
In 0.8781 0.3781 0.5000  6 Tb 3.36-3.38, 4 Th 3.37-3.69, 2 In 3.50

---

Entry 5:
The following is a DFT calculation (PBE-GGA) of a geometry-optimized Pm4P2H structure.

Computed properties:
DFT total energy   -39.19 eV/f.u.
Space group   I4/mmm, No. 139

abc: 8.6359 8.6359 8.6359
angles: 150.57 150.57 42.11
With the nearest neighbours (Å) after each atom.
Positions (direct):
Pm 0.0000 0.5000 0.5000  2 H 2.19
Pm 0.1808 0.1808 0.0000  1 H 2.91, 5 P 2.96-3.19
Pm 0.5000 0.0000 0.5000  2 H 2.19
Pm 0.8192 0.8192 0.0000  1 H 2.91, 5 P 2.96-3.19
P 0.3646 0.3646 0.0000  9 Pm 2.96-3.19
P 0.6354 0.6354 0.0000  9 Pm 2.96-3.19
H 0.0000 0.0000 0.0000  4 Pm 2.19

---

Entry 6:
The following is a DFT calculation (PBE-GGA) of a geometry-optimized Ba3LiTl2 structure.

Computed properties:
Space group   Cmmm, No. 65
E above lowest polymorph   0 meV per atom

abc: 9.5642 9.5642 4.3603
angles: 90.00 90.00 143.02
With the nearest neighbours (Å) after each atom.
Positions (direct):
Ba 0.0000 0.0000 0.0000  4 Tl 3.66, 4 Li 3.74
Ba 0.3289 0.6711 0.0000  6 Tl 3.73-3.74, 2 Li 3.79, 2 Ba 4.17
Ba 0.6711 0.3289 0.0000  6 Tl 3.73-3.74, 2 Li 3.79, 2 Ba 4.17
Li 0.5000 0.5000 0.5000  8 Ba 3.74-3.79
Tl 0.1621 0.8379 0.5000  8 Ba 3.66-3.74
Tl 0.8379 0.1621 0.5000  8 Ba 3.66-3.74

---

Entry 7:
The following is a DFT calculation (PBE-GGA) of a geometry-optimized Sr4Ca2Rh structure.

Computed properties:
DFT total energy   -17.89 eV/f.u.
Space group   I4/mmm, No. 139

abc: 10.5435 10.5435 10.5435
angles: 147.86 147.86 46.09
With the nearest neighbours (Å) after each atom.
Positions (direct):
Sr 0.0000 0.5000 0.5000  2 Rh 2.92
Sr 0.1529 0.1529 0.0000  1 Rh 2.97
Sr 0.5000 0.0000 0.5000  2 Rh 2.92
Sr 0.8471 0.8471 0.0000  1 Rh 2.97
Ca 0.3554 0.3554 0.0000  9 Sr 3.93-4.13
Ca 0.6446 0.6446 0.0000  9 Sr 3.93-4.13
Rh 0.0000 0.0000 0.0000  6 Sr 2.92-2.97

---

Entry 8:
The following is a DFT calculation (PBE-GGA) of a geometry-optimized TeAuN2F structure.

Computed properties:
Space group   P4/mmm, No. 123
E above lowest polymorph   920 meV per atom
E_form (uncorrected)   1950.0 meV per atom

abc: 4.5227 4.5227 4.2998
angles: 90.00 90.00 90.00
With the nearest neighbours (Å) after each atom.
Positions (direct):
Te 0.0000 0.0000 0.0000  2 F 2.15
Au 0.5000 0.5000 0.0000  8 N 3.12, 4 Te 3.20
N 0.0000 0.5000 0.5000  2 F 2.26
N 0.5000 0.0000 0.5000  2 F 2.26
F 0.0000 0.0000 0.5000  2 Te 2.15, 4 N 2.26

---

Entry 9:
The following is a DFT calculation (PBE-GGA) of a geometry-optimized Rb2U2TlSe7 structure.

Computed properties:
Space group   I4/mmm, No. 139
E_form (uncorrected)   -1015.7 meV per atom

abc: 14.5636 14.5636 14.5636
angles: 158.43 158.43 30.68
With the nearest neighbours (Å) after each atom.
Positions (direct):
Rb 0.1845 0.1845 0.0000  9 Se 3.53-3.86
Rb 0.8155 0.8155 0.0000  9 Se 3.53-3.86
U 0.4029 0.4029 0.0000  6 Se 2.60-2.73
U 0.5971 0.5971 0.0000  6 Se 2.60-2.73
Tl 0.0000 0.0000 0.0000  12 Se 3.79-3.85
Se 0.0937 0.5937 0.5000  2 U 2.73
Se 0.3102 0.3102 0.0000  1 U 2.60
Se 0.4063 0.9063 0.5000  2 U 2.73
Se 0.5000 0.5000 0.0000  2 U 2.73
Se 0.5937 0.0937 0.5000  2 U 2.73
Se 0.6898 0.6898 0.0000  1 U 2.60
Se 0.9063 0.4063 0.5000  2 U 2.73

---

Entry 10:
The following is a DFT calculation (PBE-GGA) of a geometry-optimized K2Hg5Au structure.

Computed properties:
Space group   I4mm, No. 107
E above lowest polymorph   34 meV per atom

abc: 7.7995 7.7995 7.7995
angles: 128.96 128.96 75.07
With the nearest neighbours (Å) after each atom.
Positions (direct):
K 0.0000 0.5000 0.5000  2 Au 3.61, 10 Hg 3.65-3.96
K 0.5000 0.0000 0.5000  2 Au 3.61, 10 Hg 3.65-3.96
Hg 0.0008 0.0008 0.4898  1 Au 2.88, 1 Hg 2.98
Hg 0.0008 0.5110 0.0000  1 Au 2.88, 1 Hg 2.98
Hg 0.1162 0.1162 0.0000  1 Au 2.76, 4 Hg 2.98
Hg 0.5110 0.0008 0.0000  1 Au 2.88, 1 Hg 2.98
Hg 0.5110 0.5110 0.5102  1 Au 2.88, 1 Hg 2.98
Au 0.8928 0.8928 0.0000  5 Hg 2.76-2.88